A plane-wave DFT calculation with PBE was carried out for an optimized crystal structure of Tb6Pm2Dy3Zr.

Values from the calculation:
Total magnetization = 0.0000 μB per atom
Formation energy from the elements = 4.8 kJ per mole of atoms
Raw total energy = -4.92 eV/atom

a = 6.1203 Å, b = 6.1203 Å, c = 11.7105 Å
α = 94.96°, β = 94.96°, γ = 119.91°
Last column: nearest neighbours and their distance in Å.
Positions (direct):
Dy 0.5000 0.5000 0.5000  6 Dy 3.54, 6 Tb 3.55-3.59
Dy 0.8336 0.1664 0.5000  6 Dy 3.53-3.54, 6 Tb 3.55-3.59
Dy 0.1664 0.8336 0.5000  6 Dy 3.53-3.54, 6 Tb 3.55-3.59
Tb 0.5913 0.9177 0.7529  6 Tb 3.46-3.57, 1 Zr 3.48, 2 Pm 3.52, 3 Dy 3.55-3.59
Tb 0.2440 0.2440 0.7531  6 Tb 3.46-3.57, 1 Zr 3.48, 2 Pm 3.52, 3 Dy 3.55-3.59
Tb 0.9177 0.5913 0.7529  6 Tb 3.46-3.57, 1 Zr 3.48, 2 Pm 3.52, 3 Dy 3.55-3.59
Tb 0.0823 0.4087 0.2471  6 Tb 3.46-3.57, 1 Zr 3.48, 2 Pm 3.52, 3 Dy 3.55-3.59
Tb 0.7560 0.7560 0.2469  6 Tb 3.46-3.57, 1 Zr 3.48, 2 Pm 3.52, 3 Dy 3.55-3.59
Tb 0.4087 0.0823 0.2471  6 Tb 3.46-3.57, 1 Zr 3.48, 2 Pm 3.52, 3 Dy 3.55-3.59
Pm 0.6667 0.3333 0.0000  6 Tb 3.52, 3 Zr 3.53-3.54, 3 Pm 3.53-3.54
Pm 0.3333 0.6667 0.0000  6 Tb 3.52, 3 Zr 3.53-3.54, 3 Pm 3.53-3.54
Zr 0.0000 0.0000 0.0000  6 Tb 3.48, 6 Pm 3.53-3.54

=====

A plane-wave DFT calculation with PBE was carried out for an optimized crystal structure of Li2BeRu.

Values from the calculation:
Total magnetization = 0.0000 μB per atom
Formation energy from the elements = 0.6 kJ per mole of atoms
Raw total energy = -4.20 eV/atom

a = 4.8413 Å, b = 4.8413 Å, c = 4.8413 Å
α = 140.25°, β = 140.25°, γ = 57.47°
Last column: nearest neighbours and their distance in Å.
Positions (direct):
Ru 0.2500 0.7500 0.5000  4 Be 2.33
Li 0.5000 0.5000 0.0000  4 Li 2.33
Li 0.0000 0.0000 0.0000  4 Li 2.33
Be 0.7500 0.2500 0.5000  4 Ru 2.33

=====

A plane-wave DFT calculation with PBE was carried out for an optimized crystal structure of Li2PrPd4.

Values from the calculation:
Total magnetization = 0.0000 μB per atom
Formation energy from the elements = -50.2 kJ per mole of atoms
Raw total energy = -4.72 eV/atom

a = 5.1930 Å, b = 5.5170 Å, c = 5.5170 Å
α = 77.20°, β = 61.92°, γ = 61.92°
Last column: nearest neighbours and their distance in Å.
Positions (direct):
Pd 0.6990 0.0000 0.6020  4 Pd 2.74-2.78, 4 Li 2.80, 1 Pr 2.93
Pd 0.3010 0.3980 0.0000  4 Pd 2.74-2.78, 4 Li 2.80, 1 Pr 2.93
Pd 0.3010 0.0000 0.3980  4 Pd 2.74-2.78, 4 Li 2.80, 1 Pr 2.93
Pd 0.6990 0.6020 0.0000  4 Pd 2.74-2.78, 4 Li 2.80, 1 Pr 2.93
Pr 0.0000 0.0000 0.0000  12 Pd 2.93-3.24
Li 0.7500 0.5000 0.5000  2 Li 2.60, 8 Pd 2.80
Li 0.2500 0.5000 0.5000  2 Li 2.60, 8 Pd 2.80

=====

A plane-wave DFT calculation with PBE was carried out for an optimized crystal structure of PmPr5Dy3.

Values from the calculation:
Total magnetization = 0.0000 μB per atom
Formation energy from the elements = 43.9 kJ per mole of atoms
Raw total energy = -4.26 eV/atom
Energy above the lowest structure with this stoichiometry = 0.185 eV/atom

a = 9.7125 Å, b = 9.7125 Å, c = 11.8773 Å
α = 52.72°, β = 52.72°, γ = 74.96°
Last column: nearest neighbours and their distance in Å.
Positions (direct):
Dy 0.3374 0.3374 0.6495  2 Dy 3.25-3.37, 1 Pm 3.30, 4 Pr 3.31-3.56
Dy 0.0000 0.0000 0.0000  4 Pr 3.00-3.20
Dy 0.6626 0.6626 0.3505  2 Dy 3.25-3.37, 1 Pm 3.30, 4 Pr 3.31-3.56
Dy 0.0000 0.0000 0.5000  2 Dy 3.17, 2 Pm 3.36, 4 Pr 3.52
Dy 0.6818 0.6818 0.8237  1 Dy 3.17, 5 Pr 3.26-3.46, 1 Pm 3.42
Dy 0.3182 0.3182 0.1763  1 Dy 3.17, 5 Pr 3.26-3.46, 1 Pm 3.42
Pr 0.1741 0.1741 0.0538  3 Dy 3.20-3.46, 3 Pr 3.33-3.41, 1 Pm 3.37
Pr 0.2538 0.7462 0.0000  1 Dy 3.00
Pr 0.6571 0.1537 0.7366  2 Pr 3.41-3.48, 2 Dy 3.52-3.56
Pr 0.8259 0.8259 0.9462  3 Dy 3.20-3.46, 3 Pr 3.33-3.41, 1 Pm 3.37
Pr 0.3429 0.8463 0.2634  2 Pr 3.41-3.48, 2 Dy 3.52-3.56
Pr 0.1537 0.6571 0.7366  2 Pr 3.41-3.48, 2 Dy 3.52-3.56
Pr 0.4950 0.4950 0.2345  3 Dy 3.26-3.45, 1 Pm 3.32, 3 Pr 3.33-3.48
Pr 0.5050 0.5050 0.7655  3 Dy 3.26-3.45, 1 Pm 3.32, 3 Pr 3.33-3.48
Pr 0.8463 0.3429 0.2634  2 Pr 3.41-3.48, 2 Dy 3.52-3.56
Pr 0.7462 0.2538 0.0000  1 Dy 3.00
Pm 0.8372 0.8372 0.4132  4 Dy 3.30-3.42, 2 Pr 3.32-3.37
Pm 0.1628 0.1628 0.5868  4 Dy 3.30-3.42, 2 Pr 3.32-3.37

=====

A plane-wave DFT calculation with PBE was carried out for an optimized crystal structure of TlIn6Bi4.

Values from the calculation:
Total magnetization = 0.0000 μB per atom
Formation energy from the elements = 5.3 kJ per mole of atoms
Raw total energy = -3.07 eV/atom
Energy above the lowest structure with this stoichiometry = 0.012 eV/atom

a = 4.6650 Å, b = 9.4299 Å, c = 9.4299 Å
α = 120.00°, β = 90.00°, γ = 90.00°
Last column: nearest neighbours and their distance in Å.
Positions (direct):
Bi 0.5000 0.8134 0.1866  6 In 3.10-3.26
Bi 0.5000 0.3731 0.1866  6 In 3.10-3.26
Bi 0.0000 0.3333 0.6667  9 In 3.27-3.32
Bi 0.5000 0.8134 0.6269  6 In 3.10-3.26
In 0.0000 0.5369 0.4631  5 Bi 3.26-3.32
In 0.0000 0.9262 0.4631  5 Bi 3.26-3.32
In 0.5000 0.6142 0.8071  4 Bi 3.10-3.27
In 0.5000 0.1929 0.8071  4 Bi 3.10-3.27
In 0.5000 0.1929 0.3858  4 Bi 3.10-3.27
In 0.0000 0.5369 0.0738  5 Bi 3.26-3.32
Tl 0.0000 0.0000 0.0000  6 Bi 3.84, 6 In 3.92

=====

A plane-wave DFT calculation with PBE was carried out for an optimized crystal structure of Na2Sc2Ag.

Values from the calculation:
Total magnetization = 0.2389 μB per atom
Formation energy from the elements = 44.1 kJ per mole of atoms
Raw total energy = -3.17 eV/atom
Energy above the lowest structure with this stoichiometry = 0.000 eV/atom

a = 6.8927 Å, b = 6.8927 Å, c = 5.2609 Å
α = 90.00°, β = 90.00°, γ = 90.00°
Last column: nearest neighbours and their distance in Å.
Positions (direct):
Na 0.6341 0.1341 0.0000  1 Na 2.61, 2 Ag 2.69
Na 0.3659 0.8659 0.0000  1 Na 2.61, 2 Ag 2.69
Na 0.8659 0.6341 0.0000  1 Na 2.61, 2 Ag 2.69
Na 0.1341 0.3659 0.0000  1 Na 2.61, 2 Ag 2.69
Sc 0.1807 0.6807 0.5000  6 Na 3.19-3.42, 1 Sc 3.52
Sc 0.3193 0.1807 0.5000  6 Na 3.19-3.42, 1 Sc 3.52
Sc 0.8193 0.3193 0.5000  6 Na 3.19-3.42, 1 Sc 3.52
Sc 0.6807 0.8193 0.5000  6 Na 3.19-3.42, 1 Sc 3.52
Ag 0.0000 0.0000 0.0000  4 Na 2.69
Ag 0.5000 0.5000 0.0000  4 Na 2.69

=====

A plane-wave DFT calculation with PBE was carried out for an optimized crystal structure of Pr2Sm8Tm.

Values from the calculation:
Total magnetization = 0.0000 μB per atom
Formation energy from the elements = 14.7 kJ per mole of atoms
Raw total energy = -4.55 eV/atom
Energy above the lowest structure with this stoichiometry = 0.136 eV/atom

a = 6.8037 Å, b = 10.2947 Å, c = 10.2947 Å
α = 38.62°, β = 59.51°, γ = 59.51°
Last column: nearest neighbours and their distance in Å.
Positions (direct):
Sm 0.7325 0.5900 0.5900  6 Sm 3.41-3.71, 1 Pr 3.74, 2 Tm 3.81
Sm 0.2285 0.8234 0.3496  5 Sm 3.23-3.58, 1 Tm 3.36, 1 Pr 3.47
Sm 0.8229 0.2434 0.2434  5 Sm 3.33-3.52, 4 Pr 3.40-3.67
Sm 0.2285 0.3496 0.8234  5 Sm 3.23-3.58, 1 Tm 3.36, 1 Pr 3.47
Sm 0.1771 0.7566 0.7566  5 Sm 3.33-3.52, 4 Pr 3.40-3.67
Sm 0.2675 0.4100 0.4100  6 Sm 3.41-3.71, 1 Pr 3.74, 2 Tm 3.81
Sm 0.7715 0.1766 0.6504  5 Sm 3.23-3.58, 1 Tm 3.36, 1 Pr 3.47
Sm 0.7715 0.6504 0.1766  5 Sm 3.23-3.58, 1 Tm 3.36, 1 Pr 3.47
Pr 0.4108 0.1951 0.1951  7 Sm 3.40-3.74, 1 Tm 3.75
Pr 0.5892 0.8049 0.8049  7 Sm 3.40-3.74, 1 Tm 3.75
Tm 0.0000 0.0000 0.0000  4 Sm 3.36, 2 Pr 3.75